No. 1
VASP calculation (PBE) on a relaxed structure of AlRe3Ni.

## Properties
The calculation puts the formation energy at 1637.1 meV/atom. The offset from the most stable computed form is 0 meV/atom. For the total energy, the calculation gives -38.68 eV for the cell shown. Its density of states at the Fermi level is 2.3530 states/eV per atom.

Structure (CIF):
```
data_AlRe3Ni
_chemical_formula_sum 'Al1 Re3 Ni1'
_space_group_name_H-M_alt 'P m -3 m'
_space_group_IT_number 221
_space_group_name_Hall '-P 4 2 3'
_cell_length_a 4.421
_cell_length_b 4.421
_cell_length_c 4.421
_cell_angle_alpha 90.00
_cell_angle_beta 90.00
_cell_angle_gamma 90.00
loop_
_atom_site_label
_atom_site_type_symbol
_atom_site_fract_x
_atom_site_fract_y
_atom_site_fract_z
Al1 Al 0.000 0.000 0.000
Re1 Re 0.000 0.500 0.500
Ni1 Ni 0.500 0.500 0.500
```

***

No. 2
VASP calculation (PBE) on a relaxed structure of V6CoIr.

## Properties
The calculation puts the formation energy at -329.5 meV/atom. For the total energy, the calculation gives -73.31 eV for the cell shown. Its density of states at the Fermi level is 0.7505 states/eV per atom.

Structure (CIF):
```
data_V6CoIr
_chemical_formula_sum 'V6 Co1 Ir1'
_space_group_name_H-M_alt 'P m -3'
_space_group_IT_number 200
_space_group_name_Hall '-P 2 2 3'
_cell_length_a 4.727
_cell_length_b 4.727
_cell_length_c 4.727
_cell_angle_alpha 90.00
_cell_angle_beta 90.00
_cell_angle_gamma 90.00
loop_
_atom_site_label
_atom_site_type_symbol
_atom_site_fract_x
_atom_site_fract_y
_atom_site_fract_z
V1 V 0.000 0.246 0.500
Co1 Co 0.000 0.000 0.000
Ir1 Ir 0.500 0.500 0.500
```

***

No. 3
VASP calculation (PBE) on a relaxed structure of Np2PdSe3.

## Properties
For the total energy, the calculation gives -187.78 eV for the cell shown. Its density of states at the Fermi level is 3.4623 states/eV per atom. For the uncorrected formation energy, the calculation gives -903 meV/atom.

Structure (CIF):
```
data_Np2PdSe3
_chemical_formula_sum 'Np8 Pd4 Se12'
_space_group_name_H-M_alt 'P n m a'
_space_group_IT_number 62
_cell_length_a 8.235
_cell_length_b 4.051
_cell_length_c 16.441
_cell_angle_alpha 90.00
_cell_angle_beta 90.00
_cell_angle_gamma 90.00
loop_
_space_group_symop_operation_xyz
'x,y,z'
'-x,-y,-z'
'-x+1/2,-y,z+1/2'
'x+1/2,y,-z+1/2'
'x+1/2,-y+1/2,-z+1/2'
'-x+1/2,y+1/2,z+1/2'
'-x,y+1/2,-z'
'x,-y+1/2,z'
loop_
_atom_site_label
_atom_site_type_symbol
_atom_site_fract_x
_atom_site_fract_y
_atom_site_fract_z
Np1 Np 0.074 0.250 0.221
Np2 Np 0.240 0.750 0.480
Pd1 Pd 0.123 0.250 0.633
Se1 Se 0.041 0.250 0.405
Se2 Se 0.092 0.750 0.077
Se3 Se 0.194 0.250 0.784
```

***

No. 4
VASP calculation (PBE) on a relaxed structure of Er7TlSe5.

## Properties
For the total energy, the calculation gives -278.86 eV for the cell shown. Its density of states at the Fermi level is 0.5904 states/eV per atom. For the uncorrected formation energy, the calculation gives -1384 meV/atom.

Structure (CIF):
```
data_Er7TlSe5
_chemical_formula_sum 'Er28 Tl4 Se20'
_space_group_name_H-M_alt 'C 1 2/m 1'
_space_group_IT_number 12
_cell_length_a 13.361
_cell_length_b 4.022
_cell_length_c 24.051
_cell_angle_alpha 90.00
_cell_angle_beta 90.01
_cell_angle_gamma 90.00
loop_
_space_group_symop_operation_xyz
'x,y,z'
'-x,-y,-z'
'-x,y,-z'
'x,-y,z'
'x+1/2,y+1/2,z'
'-x+1/2,-y+1/2,-z'
'-x+1/2,y+1/2,-z'
'x+1/2,-y+1/2,z'
loop_
_atom_site_label
_atom_site_type_symbol
_atom_site_fract_x
_atom_site_fract_y
_atom_site_fract_z
Er1 Er 0.016 0.000 0.250
Er2 Er 0.096 0.500 0.116
Er3 Er 0.096 0.500 0.384
Er4 Er 0.139 0.000 0.535
Er5 Er 0.139 0.000 0.965
Er6 Er 0.181 0.500 0.677
Er7 Er 0.181 0.500 0.823
Tl1 Tl 0.192 0.500 0.250
Se1 Se 0.000 0.500 0.000
Se2 Se 0.000 0.500 0.500
Se3 Se 0.048 0.000 0.639
Se4 Se 0.048 0.000 0.861
Se5 Se 0.225 0.000 0.428
Se6 Se 0.226 0.000 0.072
```

***

No. 5
VASP calculation (PBE) on a relaxed structure of Sc3Ag2Au.

## Properties
The calculation puts the formation energy at -456.4 meV/atom. The offset from the most stable computed form is 5 meV/atom. For the total energy, the calculation gives -61.43 eV for the cell shown. Its density of states at the Fermi level is 0.8070 states/eV per atom.

Structure (CIF):
```
data_Sc3Ag2Au
_chemical_formula_sum 'Sc6 Ag4 Au2'
_space_group_name_H-M_alt 'P -3 m 1'
_space_group_IT_number 164
_space_group_name_Hall '-P 3 2"'
_cell_length_a 4.8415
_cell_length_b 4.8415
_cell_length_c 11.8460
_cell_angle_alpha 90.00
_cell_angle_beta 90.00
_cell_angle_gamma 120.00
loop_
_atom_site_label
_atom_site_type_symbol
_atom_site_fract_x
_atom_site_fract_y
_atom_site_fract_z
Sc1 Sc 0.0000 0.0000 0.2475
Sc2 Sc 0.3333 0.6667 0.4130
Sc3 Sc 0.3333 0.6667 0.9161
Ag1 Ag 0.0000 0.0000 0.0000
Ag2 Ag 0.0000 0.0000 0.5000
Ag3 Ag 0.3333 0.6667 0.6617
Au1 Au 0.3333 0.6667 0.1645
```

***

No. 6
VASP calculation (PBE) on a relaxed structure of RbTlSe2.

## Properties
The offset from the most stable computed form is 64 meV/atom. For the total energy, the calculation gives -12.72 eV for the cell shown. Its density of states at the Fermi level is 0.0000 states/eV per atom. For the uncorrected formation energy, the calculation gives -604 meV/atom.

Structure (CIF):
```
data_RbTlSe2
_chemical_formula_sum 'Rb1 Tl1 Se2'
_space_group_name_H-M_alt 'P 1'
_space_group_IT_number 1
_cell_length_a 4.984
_cell_length_b 5.550
_cell_length_c 5.948
_cell_angle_alpha 97.60
_cell_angle_beta 114.68
_cell_angle_gamma 90.02
loop_
_space_group_symop_operation_xyz
'x,y,z'
loop_
_atom_site_label
_atom_site_type_symbol
_atom_site_fract_x
_atom_site_fract_y
_atom_site_fract_z
Rb1 Rb 0.000 0.000 0.000
Tl1 Tl 0.310 0.526 0.620
Se1 Se 0.661 0.746 0.324
Se2 Se 0.715 0.195 0.430
```

***

No. 7
VASP calculation (PBE) on a relaxed structure of ZrBeGeAu2.

## Properties
The calculation puts the formation energy at -2.3 meV/atom. For the total energy, the calculation gives -23.46 eV for the cell shown. Its density of states at the Fermi level is 0.5962 states/eV per atom.

Structure (CIF):
```
data_ZrBeGeAu2
_chemical_formula_sum 'Zr1 Be1 Ge1 Au2'
_space_group_name_H-M_alt 'P 4/m m m'
_space_group_IT_number 123
_space_group_name_Hall '-P 4 2'
_cell_length_a 4.373
_cell_length_b 4.373
_cell_length_c 4.690
_cell_angle_alpha 90.00
_cell_angle_beta 90.00
_cell_angle_gamma 90.00
loop_
_atom_site_label
_atom_site_type_symbol
_atom_site_fract_x
_atom_site_fract_y
_atom_site_fract_z
Zr1 Zr 0.000 0.000 0.000
Be1 Be 0.500 0.500 0.500
Ge1 Ge 0.500 0.500 0.000
Au1 Au 0.000 0.500 0.500
```

***

No. 8
VASP calculation (PBE) on a relaxed structure of Tm2MgTe.

## Properties
The offset from the most stable computed form is 0 meV/atom. For the total energy, the calculation gives -15.80 eV for the cell shown. Its density of states at the Fermi level is 0.9409 states/eV per atom. For the uncorrected formation energy, the calculation gives -530 meV/atom.

Structure (CIF):
```
data_Tm2MgTe
_chemical_formula_sum 'Tm2 Mg1 Te1'
_space_group_name_H-M_alt 'P 4/m m m'
_space_group_IT_number 123
_space_group_name_Hall '-P 4 2'
_cell_length_a 3.845
_cell_length_b 3.845
_cell_length_c 7.014
_cell_angle_alpha 90.00
_cell_angle_beta 90.00
_cell_angle_gamma 90.00
loop_
_atom_site_label
_atom_site_type_symbol
_atom_site_fract_x
_atom_site_fract_y
_atom_site_fract_z
Tm1 Tm 0.000 0.000 0.249
Mg1 Mg 0.500 0.500 0.500
Te1 Te 0.500 0.500 0.000
```